This record from Alexandria describes TlFeAgCl5 after structural relaxation. The functional is PBE-GGA.

Cell and atoms, written as POSCAR:
```
TlFeAgCl5
1.0
-3.4271 -0.0424 -6.9976
6.9744 -3.3505 -0.9190
-4.5192 -6.2997 4.3046
Cl Ag Tl Fe
10 2 2 2
Direct
0.6523 0.1012 0.3681 Cl
0.5906 0.7296 0.9372 Cl
0.2704 0.4094 0.5628 Cl
0.7296 0.5906 0.4372 Cl
0.1012 0.6523 0.8681 Cl
0.9167 0.0833 0.7500 Cl
0.3477 0.8988 0.6319 Cl
0.8988 0.3477 0.1319 Cl
0.0833 0.9167 0.2500 Cl
0.4094 0.2704 0.0628 Cl
0.0000 0.0000 0.5000 Ag
0.0000 0.0000 0.0000 Ag
0.3289 0.6711 0.2500 Tl
0.6711 0.3289 0.7500 Tl
0.6715 0.3285 0.2500 Fe
0.3285 0.6715 0.7500 Fe
```

Properties
ΔE_f (raw) ... -608 kJ/mol of formula units



This record from Alexandria describes Tl3FeAg3Cl8 after structural relaxation. The functional is PBE-GGA.

Cell and atoms, written as POSCAR:
```
Tl3FeAg3Cl8
1.0
8.0628 0.0000 0.0000
-4.0314 7.0066 -0.0170
0.0000 -4.6407 7.3266
Cl Ag Tl Fe
8 3 3 1
Direct
0.2654 0.5309 0.2977 Cl
0.7346 0.4691 0.7023 Cl
0.2017 0.9790 0.6795 Cl
0.7773 0.9790 0.6795 Cl
0.2011 0.4021 0.6790 Cl
0.2227 0.0210 0.3205 Cl
0.7989 0.5979 0.3210 Cl
0.7983 0.0210 0.3205 Cl
0.0000 0.5000 0.5000 Ag
0.5000 0.5000 0.5000 Ag
0.5000 0.0000 0.5000 Ag
0.5000 0.5000 0.0000 Tl
0.0000 0.5000 0.0000 Tl
0.0000 0.0000 0.0000 Tl
0.0000 0.0000 0.5000 Fe
```

Properties
ΔE_f (raw) ... -888 kJ/mol of formula units



This record from Alexandria describes TlFe2AgCl6 after structural relaxation. The functional is PBE-GGA.

Cell and atoms, written as POSCAR:
```
TlFe2AgCl6
1.0
-5.5386 -2.6287 -3.8787
3.4184 0.0419 -8.8953
1.3405 -9.4223 0.4860
Ag Cl Tl Fe
2 12 2 4
Direct
0.2500 0.2518 0.7482 Ag
0.7500 0.7482 0.2518 Ag
0.0286 0.6829 0.5897 Cl
0.9714 0.3171 0.4103 Cl
0.9187 0.3986 0.8481 Cl
0.1969 0.9558 0.7879 Cl
0.3031 0.2121 0.0442 Cl
0.5286 0.5897 0.6829 Cl
0.4714 0.4103 0.3171 Cl
0.6969 0.7879 0.9558 Cl
0.0813 0.6014 0.1519 Cl
0.8031 0.0442 0.2121 Cl
0.4187 0.8481 0.3986 Cl
0.5813 0.1519 0.6014 Cl
0.7500 0.1111 0.8889 Tl
0.2500 0.8889 0.1111 Tl
0.2062 0.3806 0.2319 Fe
0.7938 0.6194 0.7681 Fe
0.7062 0.2319 0.3806 Fe
0.2938 0.7681 0.6194 Fe
```

Properties
ΔE_f (raw) ... -670 kJ/mol of formula units
DOS at the Fermi energy ... 1.117 states/eV per atom